# 1
A geometry-optimized Li3Mg6Hg structure, computed with PBE.

Structure (POSCAR):
```
Li3Mg6Hg
1.0
8.443 0.000 0.000
0.000 4.875 0.000
-2.985 0.000 10.034
Li Mg Hg
6 12 2
direct
0.054 0.250 0.406
0.162 0.750 0.196
0.250 0.250 0.998
0.750 0.750 0.002
0.838 0.250 0.804
0.946 0.750 0.594
0.037 0.750 0.897
0.120 0.250 0.699
0.260 0.750 0.488
0.340 0.750 0.793
0.352 0.250 0.311
0.444 0.750 0.091
0.556 0.250 0.909
0.648 0.750 0.689
0.660 0.250 0.207
0.740 0.250 0.512
0.880 0.750 0.301
0.963 0.250 0.103
0.431 0.250 0.620
0.569 0.750 0.380
```

distance to the lowest polymorph of the same formula = 0.000 eV per atom
magnetic moment = 0.00 μB per cell
calculated formation energy = -0.999 eV per formula unit



# 2
A geometry-optimized Li4Y structure, computed with PBE.

Structure (POSCAR):
```
Li4Y
1.0
4.230 0.000 0.000
0.000 4.230 0.000
0.000 0.000 12.651
Li Y
8 2
direct
0.000 0.000 0.108
0.000 0.000 0.892
0.000 0.500 0.250
0.000 0.500 0.750
0.500 0.000 0.250
0.500 0.000 0.750
0.500 0.500 0.392
0.500 0.500 0.608
0.000 0.000 0.500
0.500 0.500 0.000
```

distance to the lowest polymorph of the same formula = 0.000 eV per atom
magnetic moment = 0.65 μB per cell
calculated formation energy = 0.807 eV per formula unit



# 3
A geometry-optimized KY2Mg structure, computed with PBE.

Structure (POSCAR):
```
KY2Mg
1.0
3.458 0.000 0.000
0.000 5.817 0.000
-1.501 0.000 6.936
K Y Mg
1 2 1
direct
0.000 0.000 0.000
0.305 0.500 0.709
0.695 0.500 0.291
0.500 0.000 0.500
```

magnetic moment = 0.00 μB per cell
calculated formation energy = 1.350 eV per formula unit



# 4
A geometry-optimized ZnSbOs structure, computed with PBE.

Structure (POSCAR):
```
ZnSbOs
1.0
3.227 0.000 0.000
0.000 3.730 0.000
0.000 0.000 8.314
Zn Sb Os
2 2 2
direct
0.000 0.000 0.000
0.500 0.500 0.500
0.000 0.000 0.321
0.500 0.500 0.821
0.000 0.000 0.664
0.500 0.500 0.164
```

distance to the lowest polymorph of the same formula = 0.093 eV per atom
magnetic moment = 0.00 μB per cell
formation energy from raw total energies = 301 meV/atom



# 5
A geometry-optimized GaCoSe2 structure, computed with PBE.

Structure (POSCAR):
```
GaCoSe2
1.0
4.972 0.000 0.000
0.000 3.578 0.000
-1.586 0.000 8.495
Ga Co Se
2 2 4
direct
0.181 0.250 0.346
0.819 0.750 0.654
0.485 0.750 0.818
0.515 0.250 0.182
0.228 0.250 0.659
0.268 0.750 0.041
0.732 0.250 0.959
0.772 0.750 0.341
```

magnetic moment = 0.00 μB per cell
formation energy from raw total energies = -266 meV/atom



# 6
A geometry-optimized SmPu5Se6 structure, computed with PBE.

Structure (POSCAR):
```
SmPu5Se6
1.0
3.599 -6.228 0.000
3.599 6.228 0.000
-2.398 0.000 6.782
Sm Pu Se
1 5 6
direct
0.000 0.000 0.000
0.166 0.834 0.500
0.333 0.667 0.000
0.500 0.500 0.500
0.667 0.333 0.000
0.834 0.166 0.500
0.084 0.420 0.252
0.252 0.252 0.749
0.420 0.084 0.252
0.580 0.916 0.748
0.748 0.748 0.251
0.916 0.580 0.748
```

magnetic moment = 28.96 μB per cell
formation energy from raw total energies = -1584 meV/atom



# 7
A geometry-optimized Lu3Nb structure, computed with PBE.

Structure (POSCAR):
```
Lu3Nb
1.0
4.659 0.000 0.000
0.000 4.659 0.000
0.000 0.000 4.659
Lu Nb
3 1
direct
0.000 0.000 0.500
0.000 0.500 0.000
0.500 0.000 0.000
0.500 0.500 0.500
```

distance to the lowest polymorph of the same formula = 0.024 eV per atom
magnetic moment = 0.00 μB per cell
calculated formation energy = 0.786 eV per formula unit



# 8
A geometry-optimized Sr4Ag structure, computed with PBE.

Structure (POSCAR):
```
Sr4Ag
1.0
4.783 0.000 0.000
0.000 4.783 0.000
0.000 0.000 21.307
Sr Ag
8 2
direct
0.000 0.000 0.087
0.000 0.000 0.913
0.000 0.500 0.250
0.000 0.500 0.750
0.500 0.000 0.250
0.500 0.000 0.750
0.500 0.500 0.413
0.500 0.500 0.587
0.000 0.000 0.500
0.500 0.500 0.000
```

distance to the lowest polymorph of the same formula = 0.415 eV per atom
magnetic moment = 0.00 μB per cell
calculated formation energy = 1.603 eV per formula unit



# 9
A geometry-optimized Zn4Cu2Ag5 structure, computed with PBE.

Structure (POSCAR):
```
Zn4Cu2Ag5
1.0
4.683 -1.811 0.000
4.683 1.811 0.000
-2.355 0.000 10.216
Zn Cu Ag
4 2 5
direct
0.039 0.039 0.307
0.304 0.304 0.216
0.696 0.696 0.784
0.961 0.961 0.693
0.412 0.412 0.860
0.588 0.588 0.140
0.131 0.131 0.953
0.235 0.235 0.604
0.500 0.500 0.500
0.765 0.765 0.396
0.869 0.869 0.047
```

distance to the lowest polymorph of the same formula = 0.008 eV per atom
magnetic moment = 0.00 μB per cell
calculated formation energy = 0.036 eV per formula unit



# 10
A geometry-optimized LiPm2Cu16 structure, computed with PBE.

Structure (POSCAR):
```
LiPm2Cu16
1.0
4.303 2.484 4.217
-4.303 2.484 4.217
0.000 -4.968 4.217
Li Pm Cu
1 2 16
direct
0.000 0.000 0.000
0.256 0.256 0.256
0.569 0.569 0.569
0.062 0.565 0.565
0.203 0.610 0.907
0.203 0.907 0.610
0.253 0.253 0.751
0.253 0.751 0.253
0.409 0.906 0.906
0.565 0.062 0.565
0.565 0.565 0.062
0.610 0.203 0.907
0.610 0.907 0.203
0.751 0.253 0.253
0.809 0.809 0.809
0.906 0.409 0.906
0.906 0.906 0.409
0.907 0.203 0.610
0.907 0.610 0.203
```

magnetic moment = 0.00 μB per cell
calculated formation energy = -2.320 eV per formula unit



# 11
A geometry-optimized PmZnHg structure, computed with PBE.

Structure (POSCAR):
```
PmZnHg
1.0
10.940 0.000 0.000
0.000 4.726 0.000
-4.855 0.000 5.482
Pm Zn Hg
4 4 4
direct
0.016 0.000 0.270
0.484 0.500 0.730
0.516 0.500 0.270
0.984 0.000 0.730
0.155 0.500 0.127
0.345 0.000 0.873
0.655 0.000 0.127
0.845 0.500 0.873
0.177 0.500 0.707
0.323 0.000 0.293
0.677 0.000 0.707
0.823 0.500 0.293
```

distance to the lowest polymorph of the same formula = 0.000 eV per atom
magnetic moment = 0.00 μB per cell
calculated formation energy = -1.212 eV per formula unit



# 12
A geometry-optimized HPt2Au2 structure, computed with PBE.

Structure (POSCAR):
```
HPt2Au2
1.0
5.392 0.000 0.000
0.000 5.392 0.000
0.000 0.000 5.081
H Pt Au
2 4 4
direct
0.000 0.000 0.000
0.500 0.500 0.000
0.180 0.320 0.000
0.320 0.820 0.000
0.680 0.180 0.000
0.820 0.680 0.000
0.179 0.679 0.500
0.321 0.179 0.500
0.679 0.821 0.500
0.821 0.321 0.500
```

DFT total energy = -4.295 eV/atom
magnetic moment = 0.00 μB per cell